A geometry-optimized NdSm2Ho4Er2 structure. Source: the Alexandria database, functional PBE.

Summary:
* DOS(E_F): 1.322 states/eV per atom
* electronic total energy: -4.622 eV/atom

a = 18.6180 Å, b = 3.5971 Å, c = 9.5414 Å
α = 90.00°, β = 115.68°, γ = 90.00°
With the nearest neighbours (Å) after each atom.
Space group C2/m (No. 12)
Inequivalent atoms, fractional coordinates:
Nd 0.0000 0.0000 0.0000 (multiplicity 2)  6 Ho 3.54, 4 Er 3.60, 2 Nd 3.60
Sm 0.1477 0.0000 0.6662 (multiplicity 4)  3 Er 3.52-3.56, 7 Ho 3.52-3.59, 2 Sm 3.60
Ho 0.0192 0.5000 0.3336 (multiplicity 4)  4 Sm 3.53-3.59, 2 Nd 3.54, 5 Ho 3.54-3.60, 1 Er 3.57
Ho 0.1855 0.0000 0.3347 (multiplicity 4)  6 Ho 3.52-3.60, 3 Sm 3.52-3.59, 2 Er 3.53, 1 Nd 3.54
Er 0.1678 0.5000 0.0026 (multiplicity 4)  3 Sm 3.52-3.56, 3 Ho 3.53-3.57, 4 Er 3.57-3.60, 2 Nd 3.60



A geometry-optimized K2ZrRh structure. Source: the Alexandria database, functional PBE.

Summary:
* DOS(E_F): 1.356 states/eV per atom
* electronic total energy: -3.823 eV/atom

a = 12.4886 Å, b = 12.4886 Å, c = 4.7845 Å
α = 90.00°, β = 90.00°, γ = 90.00°
With the nearest neighbours (Å) after each atom.
Space group I-42d (No. 122)
Inequivalent atoms, fractional coordinates:
K 0.0989 0.7500 0.1250 (multiplicity 8)  2 Rh 3.41, 2 Zr 3.81
Zr 0.0000 0.0000 0.5000 (multiplicity 4)  2 Rh 2.39
Rh 0.0000 0.0000 0.0000 (multiplicity 4)  2 Zr 2.39



A geometry-optimized Hg2MoIr structure. Source: the Alexandria database, functional PBE.

Summary:
* DOS(E_F): 0.909 states/eV per atom
* electronic total energy: -4.355 eV/atom

a = 5.5541 Å, b = 8.8922 Å, c = 2.9086 Å
α = 90.00°, β = 90.00°, γ = 90.00°
With the nearest neighbours (Å) after each atom.
Space group Cmmm (No. 65)
Inequivalent atoms, fractional coordinates:
Hg 0.2500 0.2500 0.0000 (multiplicity 4)  4 Hg 2.78-2.91, 4 Mo 3.00, 4 Ir 3.00
Mo 0.0000 0.0000 0.5000 (multiplicity 2)  2 Ir 2.78, 2 Mo 2.91, 8 Hg 3.00
Ir 0.0000 0.5000 0.5000 (multiplicity 2)  2 Mo 2.78, 2 Ir 2.91, 8 Hg 3.00



A geometry-optimized TaInAu4 structure. Source: the Alexandria database, functional PBE.

Summary:
* DOS(E_F): 0.631 states/eV per atom
* electronic total energy: -4.257 eV/atom

a = 7.7716 Å, b = 7.7716 Å, c = 7.7716 Å
α = 90.00°, β = 90.00°, γ = 90.00°
With the nearest neighbours (Å) after each atom.
Space group F-43m (No. 216)
Inequivalent atoms, fractional coordinates:
Ta 0.0000 0.0000 0.0000 (multiplicity 4)  12 Au 3.22, 4 In 3.37
In 0.2500 0.2500 0.2500 (multiplicity 4)  12 Au 3.22, 4 Ta 3.37
Au 0.1253 0.1253 0.6253 (multiplicity 16)  6 Au 2.74-2.75